1.
This record from Alexandria describes a relaxed structure of TaBiTe2. The functional is PBE.

- E_tot (eV per atom) = -5.632
- formation energy without anion corrections (meV per atom) = -128
- total magnetization (μB/cell) = 0.00

Geometry as CIF:
```
data_TaBiTe2
_symmetry_space_group_name_H-M 'R -3 m'
_symmetry_Int_Tables_number 166
_symmetry_space_group_name_Hall '-R 3 2"'
_cell_length_a 3.6453
_cell_length_b 3.6453
_cell_length_c 30.3556
_cell_angle_alpha 90.00
_cell_angle_beta 90.00
_cell_angle_gamma 120.00
loop_
_atom_site_label
_atom_site_fract_x
_atom_site_fract_y
_atom_site_fract_z
_atom_site_occupancy
Ta1 0.0000 0.0000 0.0000 1
Bi1 0.0000 0.0000 0.5000 1
Te1 0.0000 0.0000 0.3941 1
```

***

2.
This record from Alexandria describes a relaxed structure of UCdHg2S6. The functional is PBE.

- E_tot (eV per atom) = -4.255
- formation energy without anion corrections (meV per atom) = -497
- total magnetization (μB/cell) = 0.00

Geometry as CIF:
```
data_UCdHg2S6
_symmetry_space_group_name_H-M 'R -3'
_symmetry_Int_Tables_number 148
_symmetry_space_group_name_Hall '-R 3'
_cell_length_a 6.7704
_cell_length_b 6.7704
_cell_length_c 18.4734
_cell_angle_alpha 90.00
_cell_angle_beta 90.00
_cell_angle_gamma 120.00
loop_
_atom_site_label
_atom_site_fract_x
_atom_site_fract_y
_atom_site_fract_z
_atom_site_occupancy
U1 0.0000 0.0000 0.0000 1
Cd1 0.0000 0.0000 0.5000 1
Hg1 0.0000 0.0000 0.2497 1
S1 0.0138 0.3762 0.7491 1
```